Record 1
A plane-wave DFT calculation with GGA-PBE was carried out for CaDyHgIr after structural relaxation.

Values from the calculation:
The total energy comes out at -4.4991 eV per atom. Its total moment is 0.00 Bohr magnetons per cell. For the formation enthalpy at 0 K, the calculation gives -0.558 eV/atom.

Cell lengths 3.549, 3.549, 7.435 Å; angles 90.00, 90.00, 90.00 degrees
Positions (direct):
Ca1 0.000 0.000 0.000
Dy1 0.000 0.000 0.558
Hg1 0.500 0.500 0.281
Ir1 0.500 0.500 0.749

Record 2
A plane-wave DFT calculation with GGA-PBE was carried out for Li4ThAu2 after structural relaxation.

Values from the calculation:
The total energy comes out at -3.5015 eV per atom. Its total moment is 0.00 Bohr magnetons per cell. For the formation enthalpy at 0 K, the calculation gives -0.411 eV/atom.

Cell lengths 7.884, 7.884, 4.235 Å; angles 90.00, 90.00, 90.00 degrees
Positions (direct):
Li1 0.095 0.350 0.000
Li2 0.150 0.595 0.500
Li3 0.350 0.095 0.000
Li4 0.405 0.850 0.500
Li5 0.595 0.150 0.500
Li6 0.650 0.905 0.000
Li7 0.850 0.405 0.500
Li8 0.905 0.650 0.000
Th1 0.000 0.000 0.500
Th2 0.500 0.500 0.000
Au1 0.210 0.790 0.000
Au2 0.290 0.290 0.500
Au3 0.710 0.710 0.500
Au4 0.790 0.210 0.000

Record 3
A plane-wave DFT calculation with GGA-PBE was carried out for BaZrCd2Os after structural relaxation.

Values from the calculation:
The total energy comes out at -2.8660 eV per atom. Its total moment is 1.02 Bohr magnetons per cell. For the formation enthalpy at 0 K, the calculation gives 1.840 eV/atom.

Cell lengths 5.507, 5.507, 6.106 Å; angles 90.00, 90.00, 90.00 degrees
Positions (direct):
Ba1 0.000 0.000 0.000
Zr1 0.000 0.000 0.500
Cd1 0.000 0.500 0.500
Cd2 0.500 0.000 0.500
Os1 0.500 0.500 0.000

Record 4
A plane-wave DFT calculation with GGA-PBE was carried out for Sm6SnGe2Te3 after structural relaxation.

Values from the calculation:
The uncorrected formation energy is -1172 meV per atom. The total energy comes out at -5.4198 eV per atom. Its total moment is 0.00 Bohr magnetons per cell.

Cell lengths 9.873, 9.873, 8.871 Å; angles 103.71, 103.71, 25.58 degrees
Positions (direct):
Sm1 0.008 0.008 0.250
Sm2 0.327 0.327 0.432
Sm3 0.333 0.333 0.896
Sm4 0.667 0.667 0.104
Sm5 0.673 0.673 0.568
Sm6 0.992 0.992 0.750
Sn1 0.500 0.500 0.000
Ge1 0.168 0.168 0.335
Ge2 0.832 0.832 0.665
Te1 0.165 0.165 0.832
Te2 0.500 0.500 0.500
Te3 0.835 0.835 0.168

Record 5
A plane-wave DFT calculation with GGA-PBE was carried out for LaTb3 after structural relaxation.

Values from the calculation:
The total energy comes out at -4.6750 eV per atom. Its total moment is 0.00 Bohr magnetons per cell. For the formation enthalpy at 0 K, the calculation gives 0.030 eV/atom.

Cell lengths 6.254, 6.254, 6.254 Å; angles 131.76, 131.76, 70.62 degrees
Positions (direct):
La1 0.000 0.000 0.000
Tb1 0.250 0.750 0.500
Tb2 0.500 0.500 0.000
Tb3 0.750 0.250 0.500

Record 6
A plane-wave DFT calculation with GGA-PBE was carried out for PmTmIrI after structural relaxation.

Values from the calculation:
The uncorrected formation energy is -953 meV per atom. The total energy comes out at -5.8612 eV per atom. Its total moment is 0.00 Bohr magnetons per cell.

Cell lengths 8.305, 8.305, 8.305 Å; angles 28.87, 28.87, 28.87 degrees
Positions (direct):
Pm1 0.000 0.000 0.000
Tm1 0.214 0.214 0.214
Ir1 0.604 0.604 0.604
I1 0.776 0.776 0.776

Record 7
A plane-wave DFT calculation with GGA-PBE was carried out for BaZr2Br after structural relaxation.

Values from the calculation:
The uncorrected formation energy is 362 meV per atom. The total energy comes out at -4.8109 eV per atom. Its total moment is 0.00 Bohr magnetons per cell.

Cell lengths 11.033, 11.033, 11.033 Å; angles 153.14, 153.14, 38.35 degrees
Positions (direct):
Ba1 0.000 0.000 0.000
Ba2 0.750 0.250 0.500
Zr1 0.338 0.625 0.213
Zr2 0.375 0.588 0.713
Zr3 0.412 0.125 0.787
Zr4 0.875 0.662 0.287
Br1 0.250 0.750 0.500
Br2 0.500 0.500 0.000

Record 8
A plane-wave DFT calculation with GGA-PBE was carried out for Fe2CoSi after structural relaxation.

Values from the calculation:
The uncorrected formation energy is -234 meV per atom. The total energy comes out at -7.5973 eV per atom. Its total moment is 5.30 Bohr magnetons per cell.

Cell lengths 4.606, 4.606, 4.606 Å; angles 142.89, 130.17, 63.73 degrees
Positions (direct):
Fe1 0.000 0.000 0.000
Fe2 0.748 0.248 0.500
Co1 0.491 0.491 0.000
Si1 0.249 0.749 0.500

Record 9
A plane-wave DFT calculation with GGA-PBE was carried out for Th2GaPIr6 after structural relaxation.

Values from the calculation:
The total energy comes out at -8.3056 eV per atom. Its total moment is 0.00 Bohr magnetons per cell. For the formation enthalpy at 0 K, the calculation gives -0.661 eV/atom.

Cell lengths 5.530, 8.665, 7.965 Å; angles 90.00, 90.00, 90.00 degrees
Positions (direct):
Th1 0.250 0.014 0.223
Th2 0.250 0.486 0.223
Th3 0.750 0.514 0.777
Th4 0.750 0.986 0.777
Ga1 0.250 0.750 0.777
Ga2 0.750 0.250 0.223
P1 0.250 0.250 0.734
P2 0.750 0.750 0.266
Ir1 0.004 0.750 0.037
Ir2 0.006 0.750 0.504
Ir3 0.250 0.001 0.602
Ir4 0.250 0.499 0.602
Ir5 0.494 0.750 0.504
Ir6 0.496 0.750 0.037
Ir7 0.504 0.250 0.963
Ir8 0.506 0.250 0.496
Ir9 0.750 0.501 0.398
Ir10 0.750 0.999 0.398
Ir11 0.994 0.250 0.496
Ir12 0.996 0.250 0.963

Record 10
A plane-wave DFT calculation with GGA-PBE was carried out for AcCe2Ga2Pt7 after structural relaxation.

Values from the calculation:
The total energy comes out at -6.2080 eV per atom. Its total moment is 1.63 Bohr magnetons per cell. For the formation enthalpy at 0 K, the calculation gives -0.848 eV/atom.

Cell lengths 4.188, 4.188, 14.322 Å; angles 96.71, 96.71, 88.90 degrees
Positions (direct):
Ac1 0.000 0.000 0.000
Ce1 0.125 0.125 0.360
Ce2 0.875 0.875 0.640
Ga1 0.396 0.396 0.740
Ga2 0.604 0.604 0.260
Pt1 0.067 0.565 0.165
Pt2 0.369 0.369 0.567
Pt3 0.435 0.933 0.835
Pt4 0.500 0.500 0.000
Pt5 0.565 0.067 0.165
Pt6 0.631 0.631 0.433
Pt7 0.933 0.435 0.835

Record 11
A plane-wave DFT calculation with GGA-PBE was carried out for ZnRe4Ir after structural relaxation.

Values from the calculation:
The total energy comes out at -9.3967 eV per atom. Its total moment is 0.00 Bohr magnetons per cell. For the formation enthalpy at 0 K, the calculation gives 0.591 eV/atom.

Cell lengths 5.150, 5.150, 5.150 Å; angles 60.00, 60.00, 60.00 degrees
Positions (direct):
Zn1 0.000 0.000 0.000
Re1 0.374 0.374 0.374
Re2 0.374 0.374 0.877
Re3 0.374 0.877 0.374
Re4 0.877 0.374 0.374
Ir1 0.750 0.750 0.750

Record 12
A plane-wave DFT calculation with GGA-PBE was carried out for LaB2RhO6 after structural relaxation.

Values from the calculation:
The uncorrected formation energy is -2286 meV per atom. The total energy comes out at -7.8244 eV per atom. Its total moment is 0.00 Bohr magnetons per cell.

Cell lengths 6.198, 6.198, 6.198 Å; angles 46.92, 46.92, 46.92 degrees
Positions (direct):
La1 0.000 0.000 0.000
B1 0.235 0.235 0.235
B2 0.765 0.765 0.765
Rh1 0.500 0.500 0.500
O1 0.056 0.725 0.498
O2 0.275 0.502 0.944
O3 0.498 0.056 0.725
O4 0.502 0.944 0.275
O5 0.725 0.498 0.056
O6 0.944 0.275 0.502